Entry 1:
A plane-wave DFT calculation with GGA-PBE was carried out for a geometry-optimized NpSnS4 structure.

Computed properties:
**Total magnetization**: 2.74 μB/cell
**E_form (uncorrected)**: -734 meV/atom
**Uncorrected energy**: -37.86 eV per cell
**Mass density**: 4.8 g/cm³

Cell lengths 7.503, 7.503, 6.745 Å; angles 116.28, 116.28, 29.94 degrees
Sites, in units of the cell vectors:
Np: 0.000 0.000 0.000
Sn: 0.500 0.500 0.500
S: 0.111 0.111 0.439
S: 0.389 0.389 0.057
S: 0.611 0.611 0.943
S: 0.889 0.889 0.561

=====

Entry 2:
A plane-wave DFT calculation with GGA-PBE was carried out for a geometry-optimized Np2Sn2S7 structure.

Computed properties:
**Total magnetization**: 5.25 μB/cell
**E_form (uncorrected)**: -764 meV/atom
**Uncorrected energy**: -71.19 eV per cell
**Mass density**: 6.2 g/cm³

Cell lengths 8.837, 8.837, 8.837 Å; angles 154.25, 64.09, 122.43 degrees
Sites, in units of the cell vectors:
Np: 0.000 0.000 0.000
Np: 0.536 0.036 0.500
Sn: 0.494 0.732 0.762
Sn: 0.970 0.732 0.238
S: 0.214 0.714 0.500
S: 0.261 0.080 0.181
S: 0.381 0.499 0.882
S: 0.617 0.499 0.118
S: 0.727 0.319 0.408
S: 0.899 0.080 0.819
S: 0.910 0.319 0.592

=====

Entry 3:
A plane-wave DFT calculation with GGA-PBE was carried out for a geometry-optimized Np3SnS6 structure.

Computed properties:
**Total magnetization**: 22.00 μB/cell
**E_form (uncorrected)**: -1162 meV/atom
**E above lowest polymorph**: 0.000 eV/atom
**Uncorrected energy**: -158.42 eV per cell
**Mass density**: 7.0 g/cm³

Cell lengths 10.951, 4.054, 11.505 Å; angles 90.00, 107.67, 90.00 degrees
Sites, in units of the cell vectors:
Np: 0.054 0.250 0.168
Np: 0.177 0.750 0.498
Np: 0.342 0.250 0.912
Np: 0.658 0.750 0.088
Np: 0.823 0.250 0.502
Np: 0.946 0.750 0.832
Sn: 0.464 0.250 0.327
Sn: 0.536 0.750 0.673
S: 0.017 0.250 0.389
S: 0.106 0.250 0.947
S: 0.214 0.750 0.270
S: 0.297 0.750 0.750
S: 0.373 0.250 0.531
S: 0.410 0.750 0.075
S: 0.590 0.250 0.925
S: 0.627 0.750 0.469
S: 0.703 0.250 0.250
S: 0.786 0.250 0.730
S: 0.894 0.750 0.053
S: 0.983 0.750 0.611